Material: Mg2TaTe
Method: DFT, SCAN
State: single point on PBEsol structure

Cell: 3.4798 4.5869 5.7653 Å, 113.44 107.56 90.00°
Sites, in units of the cell vectors:
Mg1 0.2474 0.2474 0.4948
Mg2 0.7526 0.7526 0.5052
Ta1 0.0000 0.5000 0.0000
Te1 0.5000 0.0000 0.0000

formation energy (no corrections)	0.23	eV per atom
symmetry	No. 71